The following is a DFT calculation (GGA-PBE) of an optimized crystal structure of SmCoH.

Properties
Raw total energy = -4.955 eV per atom
Crystal system = hexagonal
Offset from the most stable computed form = 450 meV per atom
Magnetization = 0.00 μB per atom
SG = P-6m2 (187)

Lattice parameters (Å, degrees): 3.7140 3.7140 3.6165 90.00 90.00 120.00
Closest atoms and distances in Å follow each position.
Positions (direct):
Sm: 0.0000 0.0000 0.0000  6 H 2.80, 6 Co 2.80
Co: 0.6667 0.3333 0.5000  3 H 2.14
H: 0.3333 0.6667 0.5000  3 Co 2.14